! Rb2YB PBE optimized geometry; values from VASP
! volume	52.26	Å³ per atom
! magnetic moment	0.647	μB per formula unit
! energy relative to the elements	0.88	eV/atom
! total DFT energy (no corrections)	-2.8860	eV per atom
&SYSTEM
  ibrav = 0, nat = 16, ntyp = 3
/
ATOMIC_SPECIES
Rb 85.47 Rb.upf
Y 88.91 Y.upf
B 10.81 B.upf
ATOMIC_POSITIONS crystal
Rb 0.082 0.750 0.125
Rb 0.250 0.082 0.875
Rb 0.250 0.418 0.375
Rb 0.418 0.750 0.625
Rb 0.582 0.250 0.625
Rb 0.750 0.582 0.375
Rb 0.750 0.918 0.875
Rb 0.918 0.250 0.125
Y 0.000 0.000 0.500
Y 0.000 0.500 0.750
Y 0.500 0.000 0.250
Y 0.500 0.500 0.000
B 0.000 0.000 0.000
B 0.000 0.500 0.250
B 0.500 0.000 0.750
B 0.500 0.500 0.500
CELL_PARAMETERS angstrom
13.102 0.000 0.000
0.000 13.102 0.000
0.000 0.000 4.871

=====

! SrFeCo3 PBE optimized geometry; values from VASP
! volume	17.98	Å³ per atom
! magnetic moment	6.918	μB per formula unit
! energy relative to the elements	0.67	eV/atom
! total DFT energy (no corrections)	-5.6201	eV per atom
&SYSTEM
  ibrav = 0, nat = 5, ntyp = 3
/
ATOMIC_SPECIES
Sr 87.62 Sr.upf
Fe 55.84 Fe.upf
Co 58.93 Co.upf
ATOMIC_POSITIONS crystal
Sr 0.000 0.000 0.000
Fe 0.500 0.500 0.500
Co 0.000 0.500 0.500
Co 0.500 0.000 0.500
Co 0.500 0.500 0.000
CELL_PARAMETERS angstrom
4.480 0.000 0.000
0.000 4.480 0.000
0.000 0.000 4.480